[1]
Density functional theory data (PBE-GGA) for MgCdHg4Bi after structural relaxation.

Calculated values
ΔH_f (0 K), eV per atom: -0.021
ρ, Mg/m³: 10.142
Calculated volume, Å³/f.u.: 188.0
Magnetization, μB per formula unit: 0.0

Lattice parameters (Å, degrees): 18.393 6.083 7.178 90.00 110.58 90.00
Space group C2/m (No. 12)
One atom of each set of equivalent atoms:
Mg: 0.196 0.000 0.010
Cd: 0.032 0.500 0.227
Hg: 0.094 0.244 0.656
Hg: 0.170 0.500 0.090
Hg: 0.229 0.500 0.547
Bi: 0.070 0.000 0.197


[2]
Density functional theory data (PBE-GGA) for LaY after structural relaxation.

Calculated values
ΔH_f (0 K), eV per atom: 0.180
ρ, Mg/m³: 5.287
Calculated volume, Å³/f.u.: 71.6
Magnetization, μB per formula unit: 0.0

Lattice parameters (Å, degrees): 5.7303 5.7303 10.0648 90.00 90.00 120.00
Space group P6_3/mmc (No. 194)
One atom of each set of equivalent atoms:
La: 0.0000 0.0000 0.2500
La: 0.3333 0.6667 0.2500
Y: 0.3333 0.6667 0.5851


[3]
Density functional theory data (PBE-GGA) for Ca4Se5 after structural relaxation.

Calculated values
ρ, Mg/m³: 4.243
Calculated volume, Å³/f.u.: 217.3
Magnetization, μB per formula unit: 0.0
Energy relative to the elements, uncorrected, eV/atom: -1.542

Lattice parameters (Å, degrees): 9.1083 9.1083 6.0478 90.00 90.00 120.00
Space group P6_3/mcm (No. 193)
One atom of each set of equivalent atoms:
Ca: 0.0000 0.0000 0.0000
Ca: 0.0000 0.3792 0.2500
Se: 0.0000 0.2680 0.7500
Se: 0.3333 0.6667 0.0000


[4]
Density functional theory data (PBE-GGA) for AlInPt2 after structural relaxation.

Calculated values
ΔH_f (0 K), eV per atom: -0.454
ρ, Mg/m³: 13.037
Calculated volume, Å³/f.u.: 67.8
Magnetization, μB per formula unit: 0.0

Lattice parameters (Å, degrees): 4.603 3.009 5.320 90.00 113.15 90.00
Space group P2/m (No. 10)
One atom of each set of equivalent atoms:
Al: 0.000 0.000 0.000
In: 0.000 0.500 0.500
Pt: 0.500 0.000 0.500
Pt: 0.500 0.500 0.000


[5]
Density functional theory data (PBE-GGA) for LiLa3Zr after structural relaxation.

Calculated values
ΔH_f (0 K), eV per atom: 0.670
ρ, Mg/m³: 5.429
Calculated volume, Å³/f.u.: 157.5
Magnetization, μB per formula unit: 0.0

Lattice parameters (Å, degrees): 5.400 5.400 5.400 90.00 90.00 90.00
Space group Pm-3m (No. 221)
One atom of each set of equivalent atoms:
Li: 0.000 0.000 0.000
La: 0.000 0.000 0.500
Zr: 0.500 0.500 0.500


[6]
Density functional theory data (PBE-GGA) for Na3Zn8Pd after structural relaxation.

Calculated values
ΔH_f (0 K), eV per atom: -0.083
ρ, Mg/m³: 5.576
Calculated volume, Å³/f.u.: 208.1
Magnetization, μB per formula unit: 0.0

Lattice parameters (Å, degrees): 5.2751 5.2751 25.9002 90.00 90.00 120.00
Space group R3m (No. 160, hexagonal axes)
One atom of each set of equivalent atoms:
Na: 0.0000 0.0000 0.0000
Na: 0.0000 0.0000 0.1270
Na: 0.0000 0.0000 0.6224
Zn: 0.0000 0.0000 0.3141
Zn: 0.0000 0.0000 0.8131
Zn: 0.0065 0.5032 0.0665
Zn: 0.1677 0.3355 0.8927
Pd: 0.0000 0.0000 0.4987


[7]
Density functional theory data (PBE-GGA) for Na2ZrV after structural relaxation.

Calculated values
ΔH_f (0 K), eV per atom: 1.186
ρ, Mg/m³: 3.345
Calculated volume, Å³/f.u.: 93.4
Magnetization, μB per formula unit: 2.6

Lattice parameters (Å, degrees): 7.203 7.203 7.203 90.00 90.00 90.00
Space group Fm-3m (No. 225)
One atom of each set of equivalent atoms:
Na: 0.250 0.250 0.250
Zr: 0.000 0.000 0.000
V: 0.000 0.000 0.500


[8]
Density functional theory data (PBE-GGA) for MgCo2Cu after structural relaxation.

Calculated values
ΔH_f (0 K), eV per atom: 0.158
ρ, Mg/m³: 6.711
Calculated volume, Å³/f.u.: 50.9
Magnetization, μB per formula unit: 2.8

Lattice parameters (Å, degrees): 9.153 2.787 4.227 90.00 109.25 90.00
Space group C2/m (No. 12)
One atom of each set of equivalent atoms:
Mg: 0.000 0.000 0.000
Co: 0.241 0.000 0.738
Cu: 0.000 0.500 0.500